# 1
The following is a PBE calculation of a relaxed PIr2Rh crystal, from the Alexandria database.

Summary:
As for the volume: 14.09 A^3/atom. The size of the total moment comes out at 0.0 μB/f.u. For the total energy, the calculation gives -0.5525 Ry per atom.

a b c (Å): 4.587 4.587 2.803
angles (deg): 90.00 90.00 107.07
Positions (direct):
P (0.000, 0.000, 0.000)
Ir (0.000, 0.500, 0.500)
Ir (0.500, 0.000, 0.500)
Rh (0.500, 0.500, 0.000)



# 2
The following is a PBE calculation of a relaxed PIr2Rh crystal, from the Alexandria database.

Summary:
As for the volume: 14.02 A^3/atom. The size of the total moment comes out at 0.6 μB/f.u. For the total energy, the calculation gives -0.5652 Ry per atom.

a b c (Å): 8.267 8.267 8.267
angles (deg): 19.69 19.69 19.69
Positions (direct):
P (0.000, 0.000, 0.000)
Ir (0.261, 0.261, 0.261)
Ir (0.739, 0.739, 0.739)
Rh (0.500, 0.500, 0.500)



# 3
The following is a PBE calculation of a relaxed PIr2Rh crystal, from the Alexandria database.

Summary:
As for the volume: 14.09 A^3/atom. The size of the total moment comes out at 0.0 μB/f.u. For the total energy, the calculation gives -0.5664 Ry per atom.

a b c (Å): 5.352 5.352 5.352
angles (deg): 149.20 133.73 56.62
Positions (direct):
P (0.000, 0.000, 0.000)
Ir (0.504, 0.504, 0.000)
Ir (0.803, 0.303, 0.500)
Rh (0.198, 0.698, 0.500)



# 4
The following is a PBE calculation of a relaxed PIr2Rh crystal, from the Alexandria database.

Summary:
As for the volume: 14.52 A^3/atom. The size of the total moment comes out at 0.0 μB/f.u. For the total energy, the calculation gives -0.5525 Ry per atom.

a b c (Å): 2.778 3.746 5.580
angles (deg): 90.00 90.00 90.00
Positions (direct):
P (0.000, 0.000, 0.000)
Ir (0.000, 0.000, 0.435)
Ir (0.500, 0.500, 0.658)
Rh (0.500, 0.500, 0.150)



# 5
The following is a PBE calculation of a relaxed PIrRh2 crystal, from the Alexandria database.

Summary:
As for the volume: 13.85 A^3/atom. The size of the total moment comes out at 0.0 μB/f.u. For the total energy, the calculation gives -0.5454 Ry per atom.

a b c (Å): 5.215 5.215 5.215
angles (deg): 148.09 131.80 58.97
Positions (direct):
P (0.000, 0.000, 0.000)
Ir (0.500, 0.500, 0.000)
Rh (0.202, 0.702, 0.500)
Rh (0.798, 0.298, 0.500)



# 6
The following is a PBE calculation of a relaxed PIrRh2 crystal, from the Alexandria database.

Summary:
As for the volume: 13.87 A^3/atom. The size of the total moment comes out at 0.8 μB/f.u. For the total energy, the calculation gives -0.5443 Ry per atom.

a b c (Å): 8.249 8.249 8.249
angles (deg): 19.64 19.64 19.64
Positions (direct):
P (0.000, 0.000, 0.000)
Ir (0.500, 0.500, 0.500)
Rh (0.262, 0.262, 0.262)
Rh (0.738, 0.738, 0.738)



Please write out number 1 again, unchanged.
The following is a PBE calculation of a relaxed PIr2Rh crystal, from the Alexandria database.

Summary:
As for the volume: 14.09 A^3/atom. The size of the total moment comes out at 0.0 μB/f.u. For the total energy, the calculation gives -0.5525 Ry per atom.

a b c (Å): 4.587 4.587 2.803
angles (deg): 90.00 90.00 107.07
Positions (direct):
P (0.000, 0.000, 0.000)
Ir (0.000, 0.500, 0.500)
Ir (0.500, 0.000, 0.500)
Rh (0.500, 0.500, 0.000)